A plane-wave DFT calculation with PBE with a Hubbard U was carried out for an optimized crystal structure of NaTbMoO5.

electronic total energy	-6.96	eV/atom
space group	No. 15

CIF file:
```
data_NaTbMoO5
_chemical_formula_sum 'Na2 Tb2 Mo2 O10'
_symmetry_space_group_name_H-M 'P 1'
_symmetry_Int_Tables_number 1
_symmetry_space_group_name_Hall 'P 1'
_cell_length_a 6.195
_cell_length_b 6.195
_cell_length_c 8.028
_cell_angle_alpha 102.85
_cell_angle_beta 102.85
_cell_angle_gamma 107.66
loop_
_atom_site_label
_atom_site_fract_x
_atom_site_fract_y
_atom_site_fract_z
_atom_site_occupancy
Na1 0.197 0.803 0.750 1
Na2 0.803 0.197 0.250 1
Tb1 0.500 0.500 0.000 1
Tb2 0.500 0.500 0.500 1
Mo1 0.183 0.817 0.250 1
Mo2 0.817 0.183 0.750 1
O1 0.095 0.251 0.917 1
O2 0.169 0.589 0.358 1
O3 0.251 0.095 0.417 1
O4 0.411 0.831 0.142 1
O5 0.418 0.582 0.750 1
O6 0.582 0.418 0.250 1
O7 0.589 0.169 0.858 1
O8 0.749 0.905 0.583 1
O9 0.831 0.411 0.642 1
O10 0.905 0.749 0.083 1
```